## Si2Ir2Pd (PBE)

Data for a geometry-optimized Si2Ir2Pd structure.

Computed properties:
Energy above the most stable polymorph in this dataset (meV/atom): 137
Raw total energy (eV/cell): -35.86
Formation energy without anion corrections (meV per atom): -420
Space-group type: I4/mmm (139)

Unit cell a=3.6816 b=3.6816 c=6.2153 alpha=72.77 beta=72.77 gamma=90.00
Last column: nearest neighbours and their distance in Å.
Positions (direct):
Si (0.7500, 0.2500, 0.5000)  4 Ir 2.37, 4 Si 2.60
Si (0.2500, 0.7500, 0.5000)  4 Ir 2.37, 4 Si 2.60
Ir (0.3820, 0.3820, 0.2359)  4 Si 2.37
Ir (0.6180, 0.6180, 0.7641)  4 Si 2.37
Pd (0.0000, 0.0000, 0.0000)  8 Ir 2.92

## Si2IrPd2 (PBE)

Data for a geometry-optimized Si2IrPd2 structure.

Computed properties:
Raw total energy (eV/cell): -64.19
Formation energy without anion corrections (meV per atom): -401
Space-group type: P4/mbm (127)

Unit cell a=6.4665 b=6.4665 c=3.4273 alpha=90.00 beta=90.00 gamma=90.00
Last column: nearest neighbours and their distance in Å.
Positions (direct):
Si (0.3550, 0.8550, 0.0000)  2 Ir 2.48, 6 Pd 2.53-2.57, 1 Si 2.65
Si (0.8550, 0.6450, 0.0000)  2 Ir 2.48, 6 Pd 2.53-2.57, 1 Si 2.65
Si (0.6450, 0.1450, 0.0000)  2 Ir 2.48, 6 Pd 2.53-2.57, 1 Si 2.65
Si (0.1450, 0.3550, 0.0000)  2 Ir 2.48, 6 Pd 2.53-2.57, 1 Si 2.65
Ir (0.0000, 0.0000, 0.0000)  4 Si 2.48
Ir (0.5000, 0.5000, 0.0000)  4 Si 2.48
Pd (0.1512, 0.6512, 0.5000)  6 Si 2.53-2.57, 1 Pd 2.77
Pd (0.6512, 0.8488, 0.5000)  6 Si 2.53-2.57, 1 Pd 2.77
Pd (0.8488, 0.3488, 0.5000)  6 Si 2.53-2.57, 1 Pd 2.77
Pd (0.3488, 0.1512, 0.5000)  6 Si 2.53-2.57, 1 Pd 2.77

## Si3IrPd (PBE)

Data for a geometry-optimized Si3IrPd structure.

Computed properties:
Energy above the most stable polymorph in this dataset (meV/atom): 0
Raw total energy (eV/cell): -27.89
Formation energy without anion corrections (meV per atom): 487
Space-group type: Pm-3m (221)

Unit cell a=4.6134 b=4.6134 c=4.6134 alpha=90.00 beta=90.00 gamma=90.00
Last column: nearest neighbours and their distance in Å.
Positions (direct):
Si (0.0000, 0.5000, 0.0000)  2 Ir 2.31
Si (0.0000, 0.0000, 0.5000)  2 Ir 2.31
Si (0.5000, 0.0000, 0.0000)  2 Ir 2.31
Ir (0.0000, 0.0000, 0.0000)  6 Si 2.31
Pd (0.5000, 0.5000, 0.5000)  12 Si 3.26

## Sm2Si4IrPd3 (PBE)

Data for a geometry-optimized Sm2Si4IrPd3 structure.

Computed properties:
Raw total energy (eV/cell): -64.74
Formation energy without anion corrections (meV per atom): -917
Space-group type: P-4m2 (115)

Unit cell a=4.1733 b=4.1733 c=10.0595 alpha=90.00 beta=90.00 gamma=90.00
Last column: nearest neighbours and their distance in Å.
Positions (direct):
Sm (0.5000, 0.0000, 0.2450)  6 Pd 3.18-3.31, 8 Si 3.20-3.23, 2 Ir 3.31
Sm (0.0000, 0.5000, 0.7550)  6 Pd 3.18-3.31, 8 Si 3.20-3.23, 2 Ir 3.31
Si (0.5000, 0.5000, 0.0000)  4 Pd 2.44
Si (0.0000, 0.0000, 0.0000)  4 Pd 2.44
Si (0.5000, 0.0000, 0.6311)  3 Pd 2.44-2.47, 2 Ir 2.47
Si (0.0000, 0.5000, 0.3689)  3 Pd 2.44-2.47, 2 Ir 2.47
Ir (0.5000, 0.5000, 0.5000)  4 Si 2.47
Pd (0.0000, 0.0000, 0.5000)  4 Si 2.47
Pd (0.5000, 0.0000, 0.8734)  5 Si 2.44
Pd (0.0000, 0.5000, 0.1266)  5 Si 2.44

## SmSi2IrPd2 (PBE)

Data for a geometry-optimized SmSi2IrPd2 structure.

Computed properties:
Raw total energy (eV/cell): -37.54
Formation energy without anion corrections (meV per atom): -454
Space-group type: P4/mmm (123)

Unit cell a=4.5668 b=4.5668 c=5.6158 alpha=90.00 beta=90.00 gamma=90.00
Last column: nearest neighbours and their distance in Å.
Positions (direct):
Sm (0.0000, 0.0000, 0.5000)  2 Ir 2.81
Si (0.5000, 0.0000, 0.0000)  2 Ir 2.28
Si (0.0000, 0.5000, 0.0000)  2 Ir 2.28
Ir (0.0000, 0.0000, 0.0000)  4 Si 2.28
Pd (0.5000, 0.5000, 0.7463)  4 Si 2.69, 2 Pd 2.77-2.85
Pd (0.5000, 0.5000, 0.2537)  4 Si 2.69, 2 Pd 2.77-2.85

## SiSnIr2Pd (PBE)

Data for a geometry-optimized SiSnIr2Pd structure.

Computed properties:
Raw total energy (eV/cell): -29.00
Formation energy without anion corrections (meV per atom): 669
Space-group type: P4/mmm (123)

Unit cell a=4.4000 b=5.1083 c=4.4000 alpha=90.00 beta=90.00 gamma=90.00
Last column: nearest neighbours and their distance in Å.
Positions (direct):
Si (0.0000, 0.0000, 0.0000)  4 Ir 2.20
Ir (0.0000, 0.0000, 0.5000)  2 Si 2.20
Ir (0.5000, 0.0000, 0.0000)  2 Si 2.20
Sn (0.0000, 0.5000, 0.0000)  2 Si 2.55
Pd (0.5000, 0.5000, 0.5000)  4 Sn 3.11, 8 Ir 3.37

What is the formula in the first record?
Si2Ir2Pd

Which value of raw total energy does entry 2 give?
-64.19 eV/cell

Among the records above, which one has the highest raw total energy?
Si3IrPd

raw total energy of number 1 (Si2Ir2Pd)?
-35.86 eV/cell